Entry from the Alexandria database: crystalline SrGeSbO6 at its relaxed geometry (PBE).

Geometry as POSCAR:
```
SrGeSbO6
1.0
5.2210 0.0000 0.0000
-2.6105 4.5215 0.0000
0.0000 0.0000 10.8991
Sr Ge Sb O
2 2 2 12
direct
0.0000 0.0000 0.0000 Sr
0.0000 0.0000 0.5000 Sr
0.3333 0.6667 0.2500 Ge
0.6667 0.3333 0.7500 Ge
0.3333 0.6667 0.7500 Sb
0.6667 0.3333 0.2500 Sb
0.0125 0.3809 0.1500 O
0.0125 0.6316 0.3500 O
0.3684 0.3809 0.3500 O
0.3684 0.9875 0.1500 O
0.3809 0.0125 0.6500 O
0.3809 0.3684 0.8500 O
0.6191 0.6316 0.1500 O
0.6191 0.9875 0.3500 O
0.6316 0.0125 0.8500 O
0.6316 0.6191 0.6500 O
0.9875 0.3684 0.6500 O
0.9875 0.6191 0.8500 O
```

electronic total energy	-111.78	eV/cell
V	257.3	Å³/cell
formation energy from raw total energies	-1.747	eV/atom
SG	P-31c, No. 163